1.
# LiVIn2 (PBE, relaxed)
data_LiVIn2
_space_group_name_H-M_alt 'R -3 m'
_space_group_IT_number 166
_space_group_name_Hall '-R 3 2"'
_cell_length_a 3.0437
_cell_length_b 3.0437
_cell_length_c 30.9054
_cell_angle_alpha 90.00
_cell_angle_beta 90.00
_cell_angle_gamma 120.00
loop_
_atom_site_label
_atom_site_type_symbol
_atom_site_fract_x
_atom_site_fract_y
_atom_site_fract_z
Li1 Li 0.0000 0.0000 0.0000
V1 V 0.0000 0.0000 0.5000
In1 In 0.0000 0.0000 0.4110
# DOS at the Fermi energy = 8.8 states/eV/cell
# Polymorph energy (0 for the lowest one) = 1.71 eV per formula unit
# Crystal system = trigonal

2.
# LiVIn2 (PBE, relaxed)
data_LiVIn2
_space_group_name_H-M_alt 'F m -3 m'
_space_group_IT_number 225
_space_group_name_Hall '-F 4 2 3'
_cell_length_a 6.7230
_cell_length_b 6.7230
_cell_length_c 6.7230
_cell_angle_alpha 90.00
_cell_angle_beta 90.00
_cell_angle_gamma 90.00
loop_
_atom_site_label
_atom_site_type_symbol
_atom_site_fract_x
_atom_site_fract_y
_atom_site_fract_z
Li1 Li 0.0000 0.0000 0.0000
V1 V 0.0000 0.0000 0.5000
In1 In 0.2500 0.2500 0.2500
# DOS at the Fermi energy = 9.7 states/eV/cell
# Polymorph energy (0 for the lowest one) = 0.16 eV per formula unit
# Crystal system = cubic

3.
# Li2VIn2 (PBE, relaxed)
data_Li2VIn2
_space_group_name_H-M_alt 'P 4/m b m'
_space_group_IT_number 127
_space_group_name_Hall '-P 4 2ab'
_cell_length_a 7.6118
_cell_length_b 7.6118
_cell_length_c 3.0302
_cell_angle_alpha 90.00
_cell_angle_beta 90.00
_cell_angle_gamma 90.00
loop_
_atom_site_label
_atom_site_type_symbol
_atom_site_fract_x
_atom_site_fract_y
_atom_site_fract_z
Li1 Li 0.1193 0.3807 0.0000
V1 V 0.0000 0.0000 0.0000
In1 In 0.1786 0.6786 0.5000
# E = -35.778 eV for the cell shown
# DOS at the Fermi energy = 5.5 states/eV/cell
# Crystal system = tetragonal

4.
# Li2VIn (PBE, relaxed)
data_Li2VIn
_space_group_name_H-M_alt 'I -4 2 d'
_space_group_IT_number 122
_space_group_name_Hall 'I -4 2bw'
_cell_length_a 7.3880
_cell_length_b 7.3880
_cell_length_c 5.5918
_cell_angle_alpha 90.00
_cell_angle_beta 90.00
_cell_angle_gamma 90.00
loop_
_atom_site_label
_atom_site_type_symbol
_atom_site_fract_x
_atom_site_fract_y
_atom_site_fract_z
Li1 Li 0.2500 0.2500 0.1250
V1 V 0.0000 0.0000 0.0000
In1 In 0.0000 0.0000 0.5000
# E = -55.972 eV for the cell shown
# DOS at the Fermi energy = 14.4 states/eV/cell
# Crystal system = tetragonal

What did the fourth record say?
# Li2VIn (PBE, relaxed)
data_Li2VIn
_space_group_name_H-M_alt 'I -4 2 d'
_space_group_IT_number 122
_space_group_name_Hall 'I -4 2bw'
_cell_length_a 7.3880
_cell_length_b 7.3880
_cell_length_c 5.5918
_cell_angle_alpha 90.00
_cell_angle_beta 90.00
_cell_angle_gamma 90.00
loop_
_atom_site_label
_atom_site_type_symbol
_atom_site_fract_x
_atom_site_fract_y
_atom_site_fract_z
Li1 Li 0.2500 0.2500 0.1250
V1 V 0.0000 0.0000 0.0000
In1 In 0.0000 0.0000 0.5000
# E = -55.972 eV for the cell shown
# DOS at the Fermi energy = 14.4 states/eV/cell
# Crystal system = tetragonal

Question: DOS at the Fermi energy of number 4 (Li2VIn)?
Answer: 14.4 states/eV/cell

Question: The highest DOS at the Fermi energy belongs to which entry?
Answer: Li2VIn

Question: What is the DOS at the Fermi energy in the third record?
Answer: 5.5 states/eV/cell